The following is a SCAN calculation of a crystal of SrNd5S8 relaxed with PBEsol, from Alexandria.

The value obtained for the uncorrected formation energy is -2.35 eV/atom. The calculated density comes out at 5.8 g/cm3.

The structure belongs to space group I-4 (No. 82); the cell edges are 8.498, 8.498 and 8.501 Å and the angles 90.00°, 90.00° and 90.00°. The distinct sites, in fractional coordinates, are Sr at (0.000, 0.000, 0.000), Nd at (0.000, 0.500, 0.250), Nd at (0.125, 0.250, 0.628), S at (0.077, 0.177, 0.305) and S at (0.077, 0.330, 0.952).